Below is NbFeSi2 after structural relaxation, with properties calculated at the GGA-PBEsol level.

Lattice parameters (Å, degrees): 8.6003 9.6118 7.5036 90.00 90.00 90.00
Last column: nearest neighbours and their distance in Å.
Space group Pbam (No. 55)
Asymmetric unit:
Nb 0.1682 0.1816 0.0000 x4  7 Si 2.58-2.77, 2 Fe 2.86
Nb 0.1706 0.4518 0.2448 x8  8 Si 2.61-2.75, 3 Fe 2.85-2.92
Fe 0.0000 0.0000 0.2455 x4  6 Si 2.34-2.36, 2 Fe 2.56
Fe 0.0907 0.7467 0.2492 x8  6 Si 2.27-2.39
Si 0.0397 0.6187 0.0000 x4  2 Fe 2.28, 1 Si 2.38
Si 0.0435 0.6222 0.5000 x4  2 Fe 2.27, 1 Si 2.47
Si 0.1161 0.8988 0.5000 x4  4 Fe 2.36-2.39
Si 0.1221 0.8968 0.0000 x4  4 Fe 2.34-2.38, 3 Nb 2.61
Si 0.1612 0.1807 0.3443 x8  1 Si 2.34, 3 Fe 2.34-2.39, 1 Nb 2.58

Properties
Its electronic total energy is -8.516 eV per atom. Its crystal system is orthorhombic. Its raw formation energy is -67 kJ per mole of atoms.